The following is a PBE-GGA calculation of crystalline KRb2IF at its relaxed geometry, from Alexandria.

The structure in CIF format:
```
data_KRb2IF
_chemical_formula_sum 'K1 Rb2 I1 F1'
_cell_length_a 6.185
_cell_length_b 6.185
_cell_length_c 5.387
_cell_angle_alpha 90.00
_cell_angle_beta 90.00
_cell_angle_gamma 90.00
_symmetry_space_group_name_H-M 'P 4/m m m'
_symmetry_Int_Tables_number 123
_symmetry_space_group_name_Hall '-P 4 2'
loop_
_atom_site_label
_atom_site_type_symbol
_atom_site_fract_x
_atom_site_fract_y
_atom_site_fract_z
_atom_site_occupancy
K1 K 0.000 0.000 0.000 1
Rb1 Rb 0.000 0.500 0.500 1
I1 I 0.500 0.500 0.000 1
F1 F 0.000 0.000 0.500 1
```

Calculated values
Its calculated density is 2.87 g/cm3. The formation energy (no corrections) comes out at -144.6 kJ per mole of atoms. As for the total energy: -13.95 eV for the cell shown.

The following is a PBE-GGA calculation of crystalline KRbIF at its relaxed geometry, from Alexandria.

The structure in CIF format:
```
data_KRbIF
_chemical_formula_sum 'K6 Rb6 I6 F6'
_cell_length_a 5.7965
_cell_length_b 5.7965
_cell_length_c 33.4346
_cell_angle_alpha 90.00
_cell_angle_beta 90.00
_cell_angle_gamma 120.00
_symmetry_space_group_name_H-M 'R -3 m'
_symmetry_Int_Tables_number 166
_symmetry_space_group_name_Hall '-R 3 2"'
loop_
_atom_site_label
_atom_site_type_symbol
_atom_site_fract_x
_atom_site_fract_y
_atom_site_fract_z
_atom_site_occupancy
K1 K 0.0000 0.0000 0.2203 1
Rb1 Rb 0.0000 0.0000 0.3727 1
I1 I 0.0000 0.0000 0.1111 1
F1 F 0.0000 0.0000 0.2951 1
```

Calculated values
Its calculated density is 2.77 g/cm3. The formation energy (no corrections) comes out at -190.6 kJ per mole of atoms. As for the total energy: -80.34 eV for the cell shown.

The following is a PBE-GGA calculation of crystalline K2RbIF4 at its relaxed geometry, from Alexandria.

The structure in CIF format:
```
data_K2RbIF4
_chemical_formula_sum 'K8 Rb4 I4 F16'
_cell_length_a 10.023
_cell_length_b 12.888
_cell_length_c 7.857
_cell_angle_alpha 90.00
_cell_angle_beta 128.93
_cell_angle_gamma 90.00
_symmetry_space_group_name_H-M 'C 1 2/c 1'
_symmetry_Int_Tables_number 15
_symmetry_space_group_name_Hall '-C 2yc'
loop_
_atom_site_label
_atom_site_type_symbol
_atom_site_fract_x
_atom_site_fract_y
_atom_site_fract_z
_atom_site_occupancy
K1 K 0.000 0.000 0.000 1
K2 K 0.250 0.250 0.000 1
Rb1 Rb 0.000 0.500 0.000 1
I1 I 0.250 0.250 0.500 1
F1 F 0.083 0.217 0.575 1
F2 F 0.240 0.447 0.963 1
```

Calculated values
Its calculated density is 3.08 g/cm3. The formation energy (no corrections) comes out at -216.0 kJ per mole of atoms. As for the total energy: -120.44 eV for the cell shown.

The following is a PBE-GGA calculation of crystalline KRb2IF4 at its relaxed geometry, from Alexandria.

The structure in CIF format:
```
data_KRb2IF4
_chemical_formula_sum 'K4 Rb8 I4 F16'
_cell_length_a 9.996
_cell_length_b 13.381
_cell_length_c 7.956
_cell_angle_alpha 90.00
_cell_angle_beta 127.58
_cell_angle_gamma 90.00
_symmetry_space_group_name_H-M 'C 1 2/c 1'
_symmetry_Int_Tables_number 15
_symmetry_space_group_name_Hall '-C 2yc'
loop_
_atom_site_label
_atom_site_type_symbol
_atom_site_fract_x
_atom_site_fract_y
_atom_site_fract_z
_atom_site_occupancy
K1 K 0.000 0.000 0.000 1
Rb1 Rb 0.000 0.500 0.000 1
Rb2 Rb 0.250 0.250 0.000 1
I1 I 0.250 0.250 0.500 1
F1 F 0.083 0.204 0.568 1
F2 F 0.233 0.450 0.945 1
```

Calculated values
Its calculated density is 3.25 g/cm3. The formation energy (no corrections) comes out at -214.8 kJ per mole of atoms. As for the total energy: -119.53 eV for the cell shown.

The following is a PBE-GGA calculation of crystalline K3SiI2F6 at its relaxed geometry, from Alexandria.

The structure in CIF format:
```
data_K3SiI2F6
_chemical_formula_sum 'K6 Si2 I4 F12'
_cell_length_a 13.977
_cell_length_b 6.612
_cell_length_c 6.414
_cell_angle_alpha 90.00
_cell_angle_beta 90.11
_cell_angle_gamma 90.00
_symmetry_space_group_name_H-M 'C 1 2/m 1'
_symmetry_Int_Tables_number 12
_symmetry_space_group_name_Hall '-C 2y'
loop_
_atom_site_label
_atom_site_type_symbol
_atom_site_fract_x
_atom_site_fract_y
_atom_site_fract_z
_atom_site_occupancy
K1 K 0.000 0.000 0.000 1
K2 K 0.250 0.250 0.500 1
Si1 Si 0.000 0.500 0.500 1
I1 I 0.246 0.000 0.988 1
F1 F 0.030 0.314 0.324 1
F2 F 0.117 0.500 0.591 1
```

Calculated values
Its calculated density is 2.88 g/cm3. The formation energy (no corrections) comes out at -238.3 kJ per mole of atoms. As for the total energy: -105.37 eV for the cell shown.

The following is a PBE-GGA calculation of crystalline KSnIF2 at its relaxed geometry, from Alexandria.

The structure in CIF format:
```
data_KSnIF2
_chemical_formula_sum 'K2 Sn2 I2 F4'
_cell_length_a 7.638
_cell_length_b 4.447
_cell_length_c 8.374
_cell_angle_alpha 90.00
_cell_angle_beta 101.97
_cell_angle_gamma 90.00
_symmetry_space_group_name_H-M 'P 1 21/m 1'
_symmetry_Int_Tables_number 11
_symmetry_space_group_name_Hall '-P 2yb'
loop_
_atom_site_label
_atom_site_type_symbol
_atom_site_fract_x
_atom_site_fract_y
_atom_site_fract_z
_atom_site_occupancy
K1 K 0.180 0.250 0.416 1
Sn1 Sn 0.179 0.250 0.911 1
I1 I 0.415 0.750 0.728 1
F1 F 0.001 0.750 0.320 1
F2 F 0.041 0.750 0.922 1
```

Calculated values
Its calculated density is 3.85 g/cm3. The formation energy (no corrections) comes out at -192.0 kJ per mole of atoms. As for the total energy: -40.68 eV for the cell shown.

The following is a PBE-GGA calculation of crystalline K2SnI2F2 at its relaxed geometry, from Alexandria.

The structure in CIF format:
```
data_K2SnI2F2
_chemical_formula_sum 'K4 Sn2 I4 F4'
_cell_length_a 4.826
_cell_length_b 4.826
_cell_length_c 18.762
_cell_angle_alpha 90.00
_cell_angle_beta 90.00
_cell_angle_gamma 90.00
_symmetry_space_group_name_H-M 'I 4/m m m'
_symmetry_Int_Tables_number 139
_symmetry_space_group_name_Hall '-I 4 2'
loop_
_atom_site_label
_atom_site_type_symbol
_atom_site_fract_x
_atom_site_fract_y
_atom_site_fract_z
_atom_site_occupancy
K1 K 0.000 0.000 0.119 1
Sn1 Sn 0.000 0.000 0.500 1
I1 I 0.000 0.000 0.328 1
F1 F 0.000 0.500 0.000 1
```

Calculated values
Its calculated density is 3.71 g/cm3. The formation energy (no corrections) comes out at -171.6 kJ per mole of atoms. As for the total energy: -50.98 eV for the cell shown.

The following is a PBE-GGA calculation of crystalline KSrIF2 at its relaxed geometry, from Alexandria.

The structure in CIF format:
```
data_KSrIF2
_chemical_formula_sum 'K1 Sr1 I1 F2'
_cell_length_a 4.807
_cell_length_b 4.807
_cell_length_c 6.799
_cell_angle_alpha 90.00
_cell_angle_beta 90.00
_cell_angle_gamma 90.00
_symmetry_space_group_name_H-M 'P 4/m m m'
_symmetry_Int_Tables_number 123
_symmetry_space_group_name_Hall '-P 4 2'
loop_
_atom_site_label
_atom_site_type_symbol
_atom_site_fract_x
_atom_site_fract_y
_atom_site_fract_z
_atom_site_occupancy
K1 K 0.000 0.000 0.000 1
Sr1 Sr 0.500 0.500 0.500 1
I1 I 0.500 0.500 0.000 1
F1 F 0.000 0.500 0.500 1
```

Calculated values
Its calculated density is 3.08 g/cm3. The formation energy (no corrections) comes out at -263.5 kJ per mole of atoms. As for the total energy: -21.73 eV for the cell shown.

The following is a PBE-GGA calculation of crystalline K3TaI2F6 at its relaxed geometry, from Alexandria.

The structure in CIF format:
```
data_K3TaI2F6
_chemical_formula_sum 'K6 Ta2 I4 F12'
_cell_length_a 16.891
_cell_length_b 7.828
_cell_length_c 5.495
_cell_angle_alpha 90.00
_cell_angle_beta 91.73
_cell_angle_gamma 90.00
_symmetry_space_group_name_H-M 'C 1 2/m 1'
_symmetry_Int_Tables_number 12
_symmetry_space_group_name_Hall '-C 2y'
loop_
_atom_site_label
_atom_site_type_symbol
_atom_site_fract_x
_atom_site_fract_y
_atom_site_fract_z
_atom_site_occupancy
K1 K 0.000 0.000 0.000 1
K2 K 0.250 0.250 0.500 1
Ta1 Ta 0.000 0.500 0.500 1
I1 I 0.197 0.000 0.995 1
F1 F 0.004 0.322 0.742 1
F2 F 0.115 0.500 0.494 1
```

Calculated values
Its calculated density is 3.05 g/cm3. The formation energy (no corrections) comes out at -254.0 kJ per mole of atoms. As for the total energy: -122.12 eV for the cell shown.

The following is a PBE-GGA calculation of crystalline KTcI2F6 at its relaxed geometry, from Alexandria.

The structure in CIF format:
```
data_KTcI2F6
_chemical_formula_sum 'K6 Tc6 I12 F36'
_cell_length_a 5.9138
_cell_length_b 5.9138
_cell_length_c 48.1385
_cell_angle_alpha 90.00
_cell_angle_beta 90.00
_cell_angle_gamma 120.00
_symmetry_space_group_name_H-M 'R -3 m'
_symmetry_Int_Tables_number 166
_symmetry_space_group_name_Hall '-R 3 2"'
loop_
_atom_site_label
_atom_site_type_symbol
_atom_site_fract_x
_atom_site_fract_y
_atom_site_fract_z
_atom_site_occupancy
K1 K 0.0000 0.0000 0.1081 1
Tc1 Tc 0.0000 0.0000 0.0000 1
Tc2 Tc 0.0000 0.0000 0.5000 1
I1 I 0.0000 0.0000 0.2574 1
I2 I 0.0000 0.0000 0.4054 1
F1 F 0.0311 0.5156 0.1898 1
F2 F 0.0352 0.5176 0.6439 1
```

Calculated values
Its calculated density is 3.45 g/cm3. The formation energy (no corrections) comes out at -164.9 kJ per mole of atoms. As for the total energy: -257.30 eV for the cell shown.

The following is a PBE-GGA calculation of crystalline KTeI2F at its relaxed geometry, from Alexandria.

The structure in CIF format:
```
data_KTeI2F
_chemical_formula_sum 'K1 Te1 I2 F1'
_cell_length_a 6.342
_cell_length_b 6.342
_cell_length_c 4.274
_cell_angle_alpha 90.00
_cell_angle_beta 90.00
_cell_angle_gamma 90.00
_symmetry_space_group_name_H-M 'P 4/m m m'
_symmetry_Int_Tables_number 123
_symmetry_space_group_name_Hall '-P 4 2'
loop_
_atom_site_label
_atom_site_type_symbol
_atom_site_fract_x
_atom_site_fract_y
_atom_site_fract_z
_atom_site_occupancy
K1 K 0.000 0.000 0.000 1
Te1 Te 0.500 0.500 0.000 1
I1 I 0.000 0.500 0.500 1
F1 F 0.500 0.500 0.500 1
```

Calculated values
Its calculated density is 4.25 g/cm3. The formation energy (no corrections) comes out at -71.2 kJ per mole of atoms. As for the total energy: -12.90 eV for the cell shown. The energy above the most stable polymorph in this dataset comes out at 0.00 kcal/mol of atoms.

The following is a PBE-GGA calculation of crystalline KTeI2F at its relaxed geometry, from Alexandria.

The structure in CIF format:
```
data_KTeI2F
_chemical_formula_sum 'K1 Te1 I2 F1'
_cell_length_a 6.557
_cell_length_b 6.557
_cell_length_c 7.253
_cell_angle_alpha 90.00
_cell_angle_beta 90.00
_cell_angle_gamma 90.00
_symmetry_space_group_name_H-M 'P 4/m m m'
_symmetry_Int_Tables_number 123
_symmetry_space_group_name_Hall '-P 4 2'
loop_
_atom_site_label
_atom_site_type_symbol
_atom_site_fract_x
_atom_site_fract_y
_atom_site_fract_z
_atom_site_occupancy
K1 K 0.000 0.000 0.000 1
Te1 Te 0.000 0.000 0.500 1
I1 I 0.000 0.500 0.000 1
F1 F 0.500 0.500 0.500 1
```

Calculated values
Its calculated density is 2.34 g/cm3. The formation energy (no corrections) comes out at 14.8 kJ per mole of atoms. As for the total energy: -8.44 eV for the cell shown. The energy above the most stable polymorph in this dataset comes out at 20.56 kcal/mol of atoms.

calculated density of number 3 (K2RbIF4)? 3.08 g/cm3

Look up the calculated density of the third one. 3.08 g/cm3